No. 1
AcSm3Ho8 | PBE | relaxed

The structure belongs to space group P1 (No. 1); the cell edges are 6.3292, 8.5205 and 8.5318 Å and the angles 84.40°, 68.26° and 68.29°. The asymmetric unit holds Ac at (0.0000, 0.0000, 0.0000), Sm at (0.6584, 0.2538, 0.7482), Sm at (0.6587, 0.7488, 0.2532), Sm at (0.9988, 0.5000, 0.4999), Ho at (0.3238, 0.1705, 0.1709), Ho at (0.3302, 0.6652, 0.6653), Ho at (0.3349, 0.0853, 0.5781), Ho at (0.3348, 0.5787, 0.0849), Ho at (0.6611, 0.3350, 0.3346), Ho at (0.6650, 0.8295, 0.8294), Ho at (0.9963, 0.4231, 0.9167) and Ho at (0.9970, 0.9161, 0.4231).

For the total magnetic moment, the calculation gives 0.00 μB per cell. The calculation puts the formation energy at 0.03 eV per atom.

***

No. 2
SbPb3 | PBE | relaxed

The structure belongs to space group P6_3/mmc (No. 194); the cell edges are 6.9607, 6.9607 and 5.8398 Å and the angles 90.00°, 90.00° and 120.00°. The asymmetric unit holds Sb at (0.3333, 0.6667, 0.2500) and Pb at (0.1689, 0.3379, 0.7500).

For the total magnetic moment, the calculation gives 0.00 μB per cell. The value obtained for the uncorrected formation energy is 0.033 eV/atom.